Record 1
# HfNiBi2O6

A relaxed structure of HfNiBi2O6 (PBE with a Hubbard U, Alexandria via LeMat-Bulk).

Output
D(E_F) = 0.00 states/eV/atom

```
20
Lattice="-2.940 3.118 3.544 -4.945 -2.568 -1.842 0.782 -5.582 5.683" Properties=species:S:1:pos:R:3 pbc="T T T"
O -1.469 -0.239 0.593
O -3.072 -1.743 5.012
O -2.035 -5.032 3.805
O -1.781 0.416 3.524
O -1.138 -2.400 2.872
O -4.280 -1.085 0.125
O -4.031 -3.289 2.373
O -5.634 -4.793 6.792
O -5.068 0.000 3.580
O -2.823 -3.947 7.260
O -5.322 -5.449 3.861
O -5.965 -2.633 4.513
Hf -2.472 -1.284 -0.921
Hf -1.079 -1.232 4.614
Ni -2.082 -4.075 1.920
Ni -1.470 1.559 1.772
Bi -4.540 -3.803 -0.293
Bi -3.630 -4.003 5.061
Bi -2.563 -1.229 7.678
Bi -3.473 -1.030 2.323
```


Record 2
# HfNi2BiO6

A relaxed structure of HfNi2BiO6 (PBE with a Hubbard U, Alexandria via LeMat-Bulk).

Output
D(E_F) = 0.25 states/eV/atom

```
10
Lattice="-3.500 -3.077 2.715 -2.271 -4.261 -2.401 1.704 -5.234 1.621" Properties=species:S:1:pos:R:3 pbc="T T T"
O -4.127 -6.794 1.260
O -2.321 -4.239 1.640
O -1.551 -6.601 2.926
O -2.338 -5.761 -1.121
O -0.068 -5.992 0.499
O -1.859 -8.282 0.573
Hf -3.719 -8.915 1.171
Bi -1.646 -2.660 0.221
Ni 1.494 -5.073 1.533
Ni -2.219 -6.143 0.889
```


no.,VASP energy (eV/cell)
1,-137.1
2,-66.1